1.
BiSbN2F: relaxed, PBE-GGA.

## Properties
E_form (uncorrected) ... 704 meV/atom
Energy above the lowest structure with this stoichiometry ... 2.04 eV per formula unit

abc: 4.4185 4.4185 4.3214
angles: 90.00 90.00 90.00
Last column: nearest neighbours and their distance in Å.
Positions (direct):
Bi: 0.0000 0.0000 0.0000  2 F 2.16, 4 N 2.21
Sb: 0.5000 0.5000 0.5000  8 N 3.09, 4 F 3.12
N: 0.0000 0.5000 0.0000  2 Bi 2.21
N: 0.5000 0.0000 0.0000  2 Bi 2.21
F: 0.0000 0.0000 0.5000  2 Bi 2.16

2.
ScBiN2F: relaxed, PBE-GGA.

## Properties
E_form (uncorrected) ... 177 meV/atom
Energy above the lowest structure with this stoichiometry ... 4.08 eV per formula unit

abc: 4.3718 4.3718 4.2664
angles: 90.00 90.00 90.00
Last column: nearest neighbours and their distance in Å.
Positions (direct):
Sc: 0.0000 0.0000 0.0000  8 N 3.05, 4 F 3.09
Bi: 0.5000 0.5000 0.5000  2 F 2.13, 4 N 2.19
N: 0.0000 0.5000 0.5000  2 Bi 2.19
N: 0.5000 0.0000 0.5000  2 Bi 2.19
F: 0.5000 0.5000 0.0000  2 Bi 2.13

3.
ScBiN2F: relaxed, PBE-GGA.

## Properties
E_form (uncorrected) ... -639 meV/atom
Energy above the lowest structure with this stoichiometry ... 0.00 eV per formula unit

abc: 4.2559 4.2559 3.9717
angles: 90.00 90.00 90.00
Last column: nearest neighbours and their distance in Å.
Positions (direct):
Sc: 0.0000 0.0000 0.0000  2 F 1.99, 4 N 2.13
Bi: 0.5000 0.5000 0.5000  8 N 2.91, 4 F 3.01
N: 0.0000 0.5000 0.0000  2 Sc 2.13
N: 0.5000 0.0000 0.0000  2 Sc 2.13
F: 0.0000 0.0000 0.5000  2 Sc 1.99

4.
BiSeNF2: relaxed, PBE-GGA.

## Properties
E_form (uncorrected) ... 225 meV/atom
Energy above the lowest structure with this stoichiometry ... 1.82 eV per formula unit

abc: 4.1041 4.1041 4.8447
angles: 90.00 90.00 90.00
Last column: nearest neighbours and their distance in Å.
Positions (direct):
Bi: 0.0000 0.0000 0.0000  2 N 2.42
Se: 0.5000 0.5000 0.0000  4 Bi 2.90, 8 F 3.17
N: 0.0000 0.0000 0.5000  4 F 2.05
F: 0.0000 0.5000 0.5000  2 N 2.05
F: 0.5000 0.0000 0.5000  2 N 2.05

> E_form (uncorrected) of number 3 (ScBiN2F)?

-639 meV/atom